Entry from the Alexandria database: crystalline Dy3GaCoS7 at its relaxed geometry (PBEsol).

As for the calculated density: 6.08 g/cm3. For the formation energy without anion corrections, the calculation gives -1527 meV per atom.

```
data_Dy3GaCoS7
_chemical_formula_sum 'Dy6 Ga2 Co2 S14'
_symmetry_space_group_name_H-M 'P 63'
_symmetry_Int_Tables_number 173
_cell_length_a 9.3553
_cell_length_b 9.3553
_cell_length_c 6.0613
_cell_angle_alpha 90.00
_cell_angle_beta 90.00
_cell_angle_gamma 120.00
loop_
_symmetry_equiv_pos_as_xyz
'x,y,z'
'x-y,x,z+1/2'
'-y,x-y,z'
'-x,-y,z+1/2'
'-x+y,-x,z'
'y,-x+y,z+1/2'
loop_
_atom_site_label
_atom_site_type_symbol
_atom_site_fract_x
_atom_site_fract_y
_atom_site_fract_z
_atom_site_occupancy
Dy1 Dy 0.1618 0.3740 0.0000 1
Ga1 Ga 0.3333 0.6667 0.5747 1
Co1 Co 0.0000 0.0000 0.1593 1
S1 S 0.0807 0.5590 0.7278 1
S2 S 0.0989 0.2238 0.4068 1
S3 S 0.3333 0.6667 0.2072 1
```